No. 1
VASP calculation (PBE) on an optimized crystal structure of CsCdH3.

a = 4.308 Å, b = 4.308 Å, c = 4.308 Å
α = 90.00°, β = 90.00°, γ = 90.00°
Element x y z (fractional)
Cs 0.000 0.000 0.000
Cd 0.500 0.500 0.500
H 0.000 0.500 0.500
H 0.500 0.000 0.500
H 0.500 0.500 0.000

## Properties
E: -2.36 eV/atom
space-group type: No. 221
density of states at the Fermi level: 0.2 states/eV/cell



No. 2
VASP calculation (PBE) on an optimized crystal structure of CsCdH2.

a = 6.555 Å, b = 6.555 Å, c = 6.555 Å
α = 34.53°, β = 34.53°, γ = 34.53°
Element x y z (fractional)
Cs 0.000 0.000 0.000
Cd 0.500 0.500 0.500
H 0.219 0.219 0.219
H 0.781 0.781 0.781

## Properties
space-group type: No. 166
density of states at the Fermi level: 0.6 states/eV/cell
excess energy over the best structure of this formula in the dataset: 351 meV/atom



No. 3
VASP calculation (PBE) on an optimized crystal structure of Cs4Cd2H.

a = 8.654 Å, b = 8.654 Å, c = 11.145 Å
α = 124.41°, β = 124.41°, γ = 33.38°
Element x y z (fractional)
Cs 0.080 0.080 0.349
Cs 0.346 0.346 0.930
Cs 0.654 0.654 0.070
Cs 0.920 0.920 0.651
Cd 0.398 0.398 0.355
Cd 0.602 0.602 0.645
H 0.000 0.000 0.000

## Properties
space-group type: No. 12
density of states at the Fermi level: 3.5 states/eV/cell
excess energy over the best structure of this formula in the dataset: 0 meV/atom



No. 4
VASP calculation (PBE) on an optimized crystal structure of CsCdH2.

a = 3.954 Å, b = 3.997 Å, c = 5.843 Å
α = 90.00°, β = 90.00°, γ = 90.00°
Element x y z (fractional)
Cs 0.000 0.000 0.000
Cd 0.500 0.500 0.497
H 0.500 0.000 0.423
H 0.500 0.500 0.822

## Properties
space-group type: No. 25
density of states at the Fermi level: 0.8 states/eV/cell
excess energy over the best structure of this formula in the dataset: 150 meV/atom



No. 5
VASP calculation (PBE) on an optimized crystal structure of Cs2Cd2H7.

a = 7.020 Å, b = 7.020 Å, c = 4.028 Å
α = 90.00°, β = 90.00°, γ = 105.63°
Element x y z (fractional)
Cs 0.245 0.755 0.000
Cs 0.755 0.245 0.000
Cd 0.231 0.231 0.500
Cd 0.769 0.769 0.500
H 0.000 0.000 0.500
H 0.106 0.424 0.500
H 0.265 0.265 0.000
H 0.424 0.106 0.500
H 0.576 0.894 0.500
H 0.735 0.735 0.000
H 0.894 0.576 0.500

## Properties
E: -2.40 eV/atom
space-group type: No. 65
density of states at the Fermi level: 1.4 states/eV/cell



No. 6
VASP calculation (PBE) on an optimized crystal structure of Cs3Cd2H.

a = 8.874 Å, b = 8.874 Å, c = 8.503 Å
α = 90.00°, β = 90.00°, γ = 120.00°
Element x y z (fractional)
Cs 0.154 0.308 0.250
Cs 0.154 0.846 0.250
Cs 0.308 0.154 0.750
Cs 0.692 0.846 0.250
Cs 0.846 0.154 0.750
Cs 0.846 0.692 0.750
Cd 0.333 0.667 0.583
Cd 0.333 0.667 0.917
Cd 0.667 0.333 0.083
Cd 0.667 0.333 0.417
H 0.000 0.000 0.000
H 0.000 0.000 0.500

## Properties
E: -1.30 eV/atom
space-group type: No. 194
density of states at the Fermi level: 8.2 states/eV/cell



No. 7
VASP calculation (PBE) on an optimized crystal structure of Cs6Cd2H.

a = 8.795 Å, b = 10.203 Å, c = 15.258 Å
α = 90.00°, β = 123.89°, γ = 90.00°
Element x y z (fractional)
Cs 0.135 0.023 0.240
Cs 0.135 0.477 0.740
Cs 0.206 0.704 0.052
Cs 0.206 0.796 0.552
Cs 0.354 0.159 0.049
Cs 0.354 0.341 0.549
Cs 0.646 0.659 0.451
Cs 0.646 0.841 0.951
Cs 0.794 0.204 0.448
Cs 0.794 0.296 0.948
Cs 0.865 0.523 0.260
Cs 0.865 0.977 0.760
Cd 0.295 0.106 0.746
Cd 0.295 0.394 0.246
Cd 0.705 0.606 0.754
Cd 0.705 0.894 0.254
H 0.000 0.000 0.000
H 0.000 0.500 0.500

## Properties
E: -1.16 eV/atom
space-group type: No. 14
density of states at the Fermi level: 15.3 states/eV/cell



No. 8
VASP calculation (PBE) on an optimized crystal structure of Cs3Cd2H6.

a = 12.692 Å, b = 12.692 Å, c = 12.692 Å
α = 160.32°, β = 160.32°, γ = 27.97°
Element x y z (fractional)
Cs 0.000 0.000 0.000
Cs 0.184 0.184 0.000
Cs 0.816 0.816 0.000
Cd 0.398 0.398 0.000
Cd 0.602 0.602 0.000
H 0.092 0.592 0.500
H 0.316 0.316 0.000
H 0.408 0.908 0.500
H 0.592 0.092 0.500
H 0.684 0.684 0.000
H 0.908 0.408 0.500

## Properties
E: -2.28 eV/atom
space-group type: No. 139
density of states at the Fermi level: 1.0 states/eV/cell



No. 9
VASP calculation (PBE) on an optimized crystal structure of Cs2CdH2.

a = 7.486 Å, b = 7.486 Å, c = 7.486 Å
α = 136.09°, β = 136.09°, γ = 63.85°
Element x y z (fractional)
Cs 0.169 0.169 0.000
Cs 0.831 0.831 0.000
Cd 0.500 0.500 0.000
H 0.250 0.750 0.500
H 0.750 0.250 0.500

## Properties
space-group type: No. 139
excess energy over the best structure of this formula in the dataset: 48 meV/atom



No. 10
VASP calculation (PBE) on an optimized crystal structure of Cs12Cd5H3.

a = 18.860 Å, b = 18.860 Å, c = 18.860 Å
α = 109.47°, β = 109.47°, γ = 109.47°
Element x y z (fractional)
Cs 0.050 0.622 0.378
Cs 0.050 0.928 0.672
Cs 0.072 0.244 0.122
Cs 0.072 0.328 0.950
Cs 0.122 0.072 0.244
Cs 0.122 0.550 0.878
Cs 0.122 0.744 0.672
Cs 0.122 0.878 0.450
Cs 0.172 0.244 0.622
Cs 0.172 0.428 0.550
Cs 0.244 0.122 0.072
Cs 0.244 0.622 0.172
Cs 0.256 0.328 0.878
Cs 0.256 0.428 0.378
Cs 0.328 0.878 0.256
Cs 0.328 0.950 0.072
Cs 0.378 0.050 0.622
Cs 0.378 0.256 0.428
Cs 0.378 0.622 0.950
Cs 0.378 0.828 0.756
Cs 0.428 0.378 0.256
Cs 0.428 0.550 0.172
Cs 0.450 0.122 0.878
Cs 0.450 0.828 0.572
Cs 0.550 0.172 0.428
Cs 0.550 0.878 0.122
Cs 0.572 0.450 0.828
Cs 0.572 0.622 0.744
Cs 0.622 0.172 0.244
Cs 0.622 0.378 0.050
Cs 0.622 0.744 0.572
Cs 0.622 0.950 0.378
Cs 0.672 0.050 0.928
Cs 0.672 0.122 0.744
Cs 0.744 0.572 0.622
Cs 0.744 0.672 0.122
Cs 0.756 0.378 0.828
Cs 0.756 0.878 0.928
Cs 0.828 0.572 0.450
Cs 0.828 0.756 0.378
Cs 0.878 0.122 0.550
Cs 0.878 0.256 0.328
Cs 0.878 0.450 0.122
Cs 0.878 0.928 0.756
Cs 0.928 0.672 0.050
Cs 0.928 0.756 0.878
Cs 0.950 0.072 0.328
Cs 0.950 0.378 0.622
Cd 0.000 0.000 0.000
Cd 0.000 0.000 0.500
Cd 0.000 0.500 0.000
Cd 0.000 0.500 0.500
Cd 0.125 0.750 0.875
Cd 0.125 0.875 0.250
Cd 0.250 0.125 0.875
Cd 0.250 0.625 0.375
Cd 0.375 0.250 0.625
Cd 0.375 0.625 0.750
Cd 0.500 0.000 0.000
Cd 0.500 0.000 0.500
Cd 0.500 0.500 0.000
Cd 0.500 0.500 0.500
Cd 0.625 0.375 0.250
Cd 0.625 0.750 0.375
Cd 0.750 0.375 0.625
Cd 0.750 0.875 0.125
Cd 0.875 0.125 0.750
Cd 0.875 0.250 0.125
H 0.125 0.250 0.375
H 0.125 0.375 0.750
H 0.250 0.375 0.125
H 0.250 0.875 0.625
H 0.375 0.125 0.250
H 0.375 0.750 0.125
H 0.625 0.250 0.875
H 0.625 0.875 0.750
H 0.750 0.125 0.375
H 0.750 0.625 0.875
H 0.875 0.625 0.250
H 0.875 0.750 0.625

## Properties
E: -1.06 eV/atom
space-group type: No. 230
density of states at the Fermi level: 85.5 states/eV/cell



No. 11
VASP calculation (PBE) on an optimized crystal structure of CsCdH3.

a = 6.476 Å, b = 6.476 Å, c = 5.759 Å
α = 90.89°, β = 90.89°, γ = 121.68°
Element x y z (fractional)
Cs 0.174 0.826 0.750
Cs 0.826 0.174 0.250
Cd 0.500 0.500 0.000
Cd 0.500 0.500 0.500
H 0.214 0.340 0.653
H 0.340 0.214 0.153
H 0.351 0.649 0.250
H 0.649 0.351 0.750
H 0.660 0.786 0.847
H 0.786 0.660 0.347

## Properties
E: -2.34 eV/atom
space-group type: No. 15
density of states at the Fermi level: 0.0 states/eV/cell



No. 12
VASP calculation (PBE) on an optimized crystal structure of Cs4Cd2H.

a = 11.147 Å, b = 11.147 Å, c = 11.147 Å
α = 148.46°, β = 148.46°, γ = 45.21°
Element x y z (fractional)
Cs 0.000 0.500 0.500
Cs 0.171 0.171 0.000
Cs 0.500 0.000 0.500
Cs 0.829 0.829 0.000
Cd 0.366 0.366 0.000
Cd 0.634 0.634 0.000
H 0.000 0.000 0.000

## Properties
space-group type: No. 139
density of states at the Fermi level: 5.8 states/eV/cell
excess energy over the best structure of this formula in the dataset: 35 meV/atom